1.
A geometry-optimized Ba2LiLaSc structure. Source: the Alexandria database, functional PBE.

Lattice parameters (Å, degrees): 5.931 5.745 5.931 90.00 90.00 90.00
Atoms (fractional coordinates):
Sc1 0.000 0.500 0.000
Li1 0.000 0.000 0.000
Ba1 0.000 0.000 0.500
Ba2 0.500 0.000 0.000
La1 0.500 0.500 0.500

Values from the calculation:
energy	-14.36	eV for the cell shown
magnetization	0.00	Bohr magnetons per cell
DOS(E_F)	9.61	states/eV/f.u.
V	202	Å³/cell
DFT formation energy	0.53	eV per atom

---

2.
A geometry-optimized BaLiLaSe3 structure. Source: the Alexandria database, functional PBE.

Lattice parameters (Å, degrees): 4.383 9.151 9.368 102.22 90.00 90.00
Atoms (fractional coordinates):
Ba1 0.750 0.821 0.766
Ba2 0.250 0.179 0.234
Li1 0.250 0.084 0.588
Li2 0.750 0.916 0.412
La1 0.250 0.666 0.169
La2 0.750 0.334 0.831
Se1 0.250 0.802 0.488
Se2 0.750 0.885 0.135
Se3 0.750 0.436 0.164
Se4 0.750 0.198 0.512
Se5 0.250 0.564 0.836
Se6 0.250 0.115 0.865

Values from the calculation:
energy relative to the elements, uncorrected	-1857	meV/atom
energy	-60.72	eV for the cell shown
magnetization	0.00	Bohr magnetons per cell
DOS(E_F)	0.00	states/eV/f.u.
V	367	Å³/cell

---

3.
A geometry-optimized BaLiLaSn structure. Source: the Alexandria database, functional PBE.

Lattice parameters (Å, degrees): 5.742 5.742 5.742 60.00 60.00 60.00
Atoms (fractional coordinates):
Li1 0.750 0.750 0.750
Ba1 0.500 0.500 0.500
Sn1 0.250 0.250 0.250
La1 0.000 0.000 0.000

Values from the calculation:
energy	-14.18	eV for the cell shown
magnetization	0.00	Bohr magnetons per cell
DOS(E_F)	2.29	states/eV/f.u.
V	134	Å³/cell
DFT formation energy	-0.35	eV per atom

---

4.
A geometry-optimized BaLi2LaSn2 structure. Source: the Alexandria database, functional PBE.

Lattice parameters (Å, degrees): 5.003 5.003 8.348 90.00 90.00 120.00
Atoms (fractional coordinates):
Ba1 0.000 0.000 0.000
Li1 0.333 0.667 0.690
Li2 0.667 0.333 0.310
La1 0.000 0.000 0.500
Sn1 0.333 0.667 0.294
Sn2 0.667 0.333 0.706

Values from the calculation:
energy	-22.34	eV for the cell shown
magnetization	0.00	Bohr magnetons per cell
DOS(E_F)	2.82	states/eV/f.u.
V	181	Å³/cell
DFT formation energy	-0.61	eV per atom

---

5.
A geometry-optimized BaLiLa2Tc structure. Source: the Alexandria database, functional PBE.

Lattice parameters (Å, degrees): 5.382 5.382 5.933 90.00 90.00 90.00
Atoms (fractional coordinates):
Tc1 0.000 0.000 0.000
Li1 0.000 0.000 0.500
Ba1 0.500 0.500 0.500
La1 0.000 0.500 0.000
La2 0.500 0.000 0.000

Values from the calculation:
energy	-23.29	eV for the cell shown
excess energy over the best structure of this formula in the dataset	0.000	eV/atom
magnetization	0.00	Bohr magnetons per cell
DOS(E_F)	5.85	states/eV/f.u.
V	172	Å³/cell
DFT formation energy	0.15	eV per atom

---

6.
A geometry-optimized BaLiLa2Tc structure. Source: the Alexandria database, functional PBE.

Lattice parameters (Å, degrees): 5.822 4.547 5.822 90.00 90.00 90.00
Atoms (fractional coordinates):
Tc1 0.500 0.500 0.500
Li1 0.000 0.500 0.000
Ba1 0.000 0.000 0.000
La1 0.000 0.000 0.500
La2 0.500 0.000 0.000

Values from the calculation:
energy	-16.17	eV for the cell shown
excess energy over the best structure of this formula in the dataset	1.424	eV/atom
magnetization	0.00	Bohr magnetons per cell
DOS(E_F)	7.22	states/eV/f.u.
V	154	Å³/cell
DFT formation energy	1.58	eV per atom

---

7.
A geometry-optimized Ba4LiLa3Te8 structure. Source: the Alexandria database, functional PBE.

Lattice parameters (Å, degrees): 9.483 9.582 9.484 119.66 120.00 90.00
Atoms (fractional coordinates):
Ba1 0.500 0.000 0.000
Ba2 0.500 0.000 0.500
Ba3 0.000 0.000 0.000
Ba4 0.000 0.000 0.500
Li1 0.000 0.500 0.000
La1 0.500 0.500 0.000
La2 0.500 0.500 0.500
La3 0.000 0.500 0.500
Te1 0.240 0.724 0.984
Te2 0.240 0.724 0.480
Te3 0.257 0.272 0.514
Te4 0.744 0.724 0.984
Te5 0.256 0.276 0.016
Te6 0.743 0.728 0.486
Te7 0.760 0.276 0.520
Te8 0.760 0.276 0.016

Values from the calculation:
energy relative to the elements, uncorrected	-1607	meV/atom
energy	-75.23	eV for the cell shown
magnetization	0.00	Bohr magnetons per cell
DOS(E_F)	5.78	states/eV/f.u.
V	613	Å³/cell

---

8.
A geometry-optimized BaLi2La2Tl2 structure. Source: the Alexandria database, functional PBE.

Lattice parameters (Å, degrees): 5.089 5.089 10.408 75.85 75.85 60.00
Atoms (fractional coordinates):
Ba1 0.000 0.000 0.000
Li1 0.587 0.587 0.240
Li2 0.413 0.413 0.760
La1 0.132 0.132 0.603
La2 0.868 0.868 0.397
Tl1 0.748 0.748 0.755
Tl2 0.252 0.252 0.245

Values from the calculation:
energy	-21.98	eV for the cell shown
magnetization	0.00	Bohr magnetons per cell
DOS(E_F)	6.23	states/eV/f.u.
V	224	Å³/cell
DFT formation energy	-0.23	eV per atom

---

9.
A geometry-optimized Ba2LiLaV structure. Source: the Alexandria database, functional PBE.

Lattice parameters (Å, degrees): 6.212 5.076 6.212 90.00 90.00 90.00
Site moments in Bohr magnetons follow the coordinates.
Atoms (fractional coordinates):
V1 0.000 0.500 0.000  -3.00
Li1 0.000 0.000 0.000  -0.09
Ba1 0.000 0.000 0.500  -0.06
Ba2 0.500 0.000 0.000  -0.05
La1 0.500 0.500 0.500  -0.06

Values from the calculation:
energy	-15.86	eV for the cell shown
magnetization	4.67	Bohr magnetons per cell
DOS(E_F)	7.23	states/eV/f.u.
V	196	Å³/cell
DFT formation energy	0.79	eV per atom

---

10.
A geometry-optimized BaLaLu2 structure. Source: the Alexandria database, functional PBE.

Lattice parameters (Å, degrees): 4.121 4.121 8.838 90.00 90.00 90.00
Atoms (fractional coordinates):
Lu1 0.000 0.000 0.779
Lu2 0.000 0.000 0.221
Ba1 0.500 0.500 0.500
La1 0.500 0.500 0.000

Values from the calculation:
energy	-15.06	eV for the cell shown
magnetization	0.00	Bohr magnetons per cell
DOS(E_F)	6.89	states/eV/f.u.
V	150	Å³/cell
DFT formation energy	0.21	eV per atom

---

11.
A geometry-optimized BaLaLu structure. Source: the Alexandria database, functional PBE.

Lattice parameters (Å, degrees): 3.813 3.813 9.478 90.00 90.00 120.00
Atoms (fractional coordinates):
Lu1 0.667 0.333 0.350
Ba1 0.000 0.000 0.011
La1 0.333 0.667 0.639

Values from the calculation:
energy	-10.80	eV for the cell shown
excess energy over the best structure of this formula in the dataset	0.013	eV/atom
magnetization	0.00	Bohr magnetons per cell
DOS(E_F)	4.95	states/eV/f.u.
V	119	Å³/cell
DFT formation energy	0.19	eV per atom

---

12.
A geometry-optimized BaLaLu structure. Source: the Alexandria database, functional PBE.

Lattice parameters (Å, degrees): 3.862 3.862 8.586 103.00 103.00 90.00
Atoms (fractional coordinates):
Lu1 0.680 0.680 0.361
Ba1 0.004 0.004 0.008
La1 0.316 0.316 0.632

Values from the calculation:
energy	-10.84	eV for the cell shown
excess energy over the best structure of this formula in the dataset	0.000	eV/atom
magnetization	0.00	Bohr magnetons per cell
DOS(E_F)	4.98	states/eV/f.u.
V	121	Å³/cell
DFT formation energy	0.18	eV per atom

---

13.
A geometry-optimized BaLa2Mg structure. Source: the Alexandria database, functional PBE.

Lattice parameters (Å, degrees): 6.389 6.389 3.838 90.00 90.00 108.12
Atoms (fractional coordinates):
Ba1 0.000 0.500 0.500
La1 0.000 0.000 0.000
La2 0.500 0.500 0.000
Mg1 0.500 0.000 0.500

Values from the calculation:
energy	-12.75	eV for the cell shown
magnetization	0.00	Bohr magnetons per cell
DOS(E_F)	4.41	states/eV/f.u.
V	149	Å³/cell
DFT formation energy	0.16	eV per atom

---

14.
A geometry-optimized BaLa2Mg9 structure. Source: the Alexandria database, functional PBE.

Lattice parameters (Å, degrees): 6.237 6.237 10.861 73.31 73.31 60.00
Atoms (fractional coordinates):
Ba1 0.000 0.000 0.000
La1 0.850 0.850 0.450
La2 0.150 0.150 0.550
Mg1 0.666 0.666 0.003
Mg2 0.334 0.334 0.997
Mg3 0.500 0.500 0.500
Mg4 0.414 0.414 0.254
Mg5 0.918 0.414 0.254
Mg6 0.414 0.918 0.254
Mg7 0.586 0.586 0.746
Mg8 0.586 0.082 0.746
Mg9 0.082 0.586 0.746

Values from the calculation:
energy	-27.21	eV for the cell shown
magnetization	0.00	Bohr magnetons per cell
DOS(E_F)	11.31	states/eV/f.u.
V	345	Å³/cell
DFT formation energy	-0.09	eV per atom

---

15.
A geometry-optimized Ba2LaMg structure. Source: the Alexandria database, functional PBE.

Lattice parameters (Å, degrees): 9.760 9.760 7.814 51.35 51.35 90.00
Atoms (fractional coordinates):
Mg1 0.500 0.500 0.000
Mg2 0.250 0.750 0.500
Ba1 0.607 0.125 0.250
Ba2 0.143 0.625 0.250
Ba3 0.375 0.393 0.750
Ba4 0.875 0.857 0.750
La1 0.000 0.000 0.000
La2 0.750 0.250 0.500

Values from the calculation:
energy	-18.29	eV for the cell shown
magnetization	0.00	Bohr magnetons per cell
DOS(E_F)	8.25	states/eV/f.u.
V	349	Å³/cell
DFT formation energy	0.31	eV per atom

---

16.
A geometry-optimized Ba2LaMg structure. Source: the Alexandria database, functional PBE.

Lattice parameters (Å, degrees): 6.218 6.218 6.218 60.00 60.00 60.00
Atoms (fractional coordinates):
Ba1 0.000 0.000 0.000
Ba2 0.250 0.250 0.250
La1 0.500 0.500 0.500
Mg1 0.750 0.750 0.750

Values from the calculation:
energy	-9.69	eV for the cell shown
magnetization	0.01	Bohr magnetons per cell
DOS(E_F)	6.89	states/eV/f.u.
V	170	Å³/cell
DFT formation energy	0.17	eV per atom

---

17.
A geometry-optimized BaLa2Mg structure. Source: the Alexandria database, functional PBE.

Lattice parameters (Å, degrees): 4.927 4.927 13.191 79.24 79.24 90.00
Atoms (fractional coordinates):
Mg1 0.500 0.500 0.000
Mg2 0.250 0.750 0.500
Ba1 0.000 0.000 0.000
Ba2 0.750 0.250 0.500
La1 0.582 0.125 0.250
La2 0.168 0.625 0.250
La3 0.375 0.418 0.750
La4 0.875 0.832 0.750

Values from the calculation:
energy	-24.60	eV for the cell shown
magnetization	0.00	Bohr magnetons per cell
DOS(E_F)	4.51	states/eV/f.u.
V	309	Å³/cell
DFT formation energy	0.27	eV per atom

---

18.
A geometry-optimized BaLaMg10 structure. Source: the Alexandria database, functional PBE.

Lattice parameters (Å, degrees): 5.044 6.167 10.689 90.00 90.00 90.00
Atoms (fractional coordinates):
Ba1 0.000 0.500 0.500
La1 0.000 0.000 0.000
Mg1 0.000 0.000 0.325
Mg2 0.000 0.500 0.840
Mg3 0.000 0.500 0.160
Mg4 0.000 0.000 0.675
Mg5 0.500 0.000 0.500
Mg6 0.500 0.500 0.000
Mg7 0.500 0.244 0.239
Mg8 0.500 0.756 0.761
Mg9 0.500 0.756 0.239
Mg10 0.500 0.244 0.761

Values from the calculation:
energy	-23.60	eV for the cell shown
magnetization	0.00	Bohr magnetons per cell
DOS(E_F)	7.31	states/eV/f.u.
V	333	Å³/cell
DFT formation energy	-0.07	eV per atom

---

19.
A geometry-optimized Ba2LaMg structure. Source: the Alexandria database, functional PBE.

Lattice parameters (Å, degrees): 7.323 7.323 6.086 65.46 65.46 35.78
Atoms (fractional coordinates):
Ba1 0.979 0.979 0.021
Ba2 0.521 0.521 0.479
La1 0.750 0.750 0.750
Mg1 0.250 0.250 0.250

Values from the calculation:
energy	-9.83	eV for the cell shown
magnetization	0.00	Bohr magnetons per cell
DOS(E_F)	5.33	states/eV/f.u.
V	172	Å³/cell
DFT formation energy	0.13	eV per atom

---

20.
A geometry-optimized Ba4LaMg5 structure. Source: the Alexandria database, functional PBE.

Lattice parameters (Å, degrees): 4.244 4.244 21.761 90.00 90.00 90.00
Atoms (fractional coordinates):
Ba1 0.000 0.000 0.187
Ba2 0.000 0.000 0.396
Ba3 0.000 0.000 0.604
Ba4 0.000 0.000 0.813
La1 0.000 0.000 0.000
Mg1 0.500 0.500 0.080
Mg2 0.500 0.500 0.292
Mg3 0.500 0.500 0.500
Mg4 0.500 0.500 0.708
Mg5 0.500 0.500 0.920

Values from the calculation:
energy	-21.17	eV for the cell shown
magnetization	0.00	Bohr magnetons per cell
DOS(E_F)	7.12	states/eV/f.u.
V	392	Å³/cell
DFT formation energy	-0.06	eV per atom

---

21.
A geometry-optimized BaLa2Mg2 structure. Source: the Alexandria database, functional PBE.

Lattice parameters (Å, degrees): 9.927 9.927 3.691 90.00 90.00 90.00
Atoms (fractional coordinates):
Mg1 0.380 0.880 0.000
Mg2 0.880 0.620 0.000
Mg3 0.620 0.120 0.000
Mg4 0.120 0.380 0.000
Ba1 0.000 0.000 0.000
Ba2 0.500 0.500 0.000
La1 0.169 0.669 0.500
La2 0.669 0.831 0.500
La3 0.831 0.331 0.500
La4 0.331 0.169 0.500

Values from the calculation:
energy	-29.33	eV for the cell shown
excess energy over the best structure of this formula in the dataset	0.049	eV/atom
magnetization	0.00	Bohr magnetons per cell
DOS(E_F)	13.06	states/eV/f.u.
V	364	Å³/cell
DFT formation energy	0.06	eV per atom

---

22.
A geometry-optimized BaLa2Mg structure. Source: the Alexandria database, functional PBE.

Lattice parameters (Å, degrees): 7.298 7.298 3.710 77.62 77.62 121.32
Atoms (fractional coordinates):
Ba1 0.000 0.500 0.500
La1 0.000 0.000 0.000
La2 0.500 0.500 0.000
Mg1 0.500 0.000 0.500

Values from the calculation:
energy	-12.80	eV for the cell shown
magnetization	0.00	Bohr magnetons per cell
DOS(E_F)	5.61	states/eV/f.u.
V	152	Å³/cell
DFT formation energy	0.14	eV per atom

---

23.
A geometry-optimized BaLa2Mg structure. Source: the Alexandria database, functional PBE.

Lattice parameters (Å, degrees): 6.545 6.545 6.545 132.69 132.69 69.14
Atoms (fractional coordinates):
Ba1 0.750 0.250 0.500
La1 0.000 0.000 0.000
La2 0.250 0.750 0.500
Mg1 0.500 0.500 0.000

Values from the calculation:
energy	-12.85	eV for the cell shown
magnetization	0.00	Bohr magnetons per cell
DOS(E_F)	5.18	states/eV/f.u.
V	149	Å³/cell
DFT formation energy	0.13	eV per atom

---

24.
A geometry-optimized BaLa2Mg structure. Source: the Alexandria database, functional PBE.

Lattice parameters (Å, degrees): 7.127 7.127 7.127 146.14 130.26 61.53
Atoms (fractional coordinates):
Ba1 0.271 0.771 0.500
La1 0.993 0.993 0.000
La2 0.728 0.228 0.500
Mg1 0.508 0.508 0.000

Values from the calculation:
energy	-12.93	eV for the cell shown
magnetization	0.00	Bohr magnetons per cell
DOS(E_F)	5.95	states/eV/f.u.
V	152	Å³/cell
DFT formation energy	0.11	eV per atom

---

25.
A geometry-optimized BaLa2Mg structure. Source: the Alexandria database, functional PBE.

Lattice parameters (Å, degrees): 12.484 12.484 12.484 17.54 17.54 17.54
Atoms (fractional coordinates):
Ba1 0.750 0.750 0.750
La1 0.989 0.989 0.989
La2 0.511 0.511 0.511
Mg1 0.250 0.250 0.250

Values from the calculation:
energy	-12.85	eV for the cell shown
magnetization	0.00	Bohr magnetons per cell
DOS(E_F)	5.07	states/eV/f.u.
V	154	Å³/cell
DFT formation energy	0.13	eV per atom

---

26.
A geometry-optimized BaLa2Mg structure. Source: the Alexandria database, functional PBE.

Lattice parameters (Å, degrees): 4.018 4.018 9.806 90.00 90.00 90.00
Atoms (fractional coordinates):
Ba1 0.500 0.500 0.750
La1 0.000 0.000 0.060
La2 0.000 0.000 0.440
Mg1 0.500 0.500 0.250

Values from the calculation:
energy	-13.18	eV for the cell shown
magnetization	0.01	Bohr magnetons per cell
DOS(E_F)	6.40	states/eV/f.u.
V	158	Å³/cell
DFT formation energy	0.05	eV per atom

---

27.
A geometry-optimized BaLa2Mg structure. Source: the Alexandria database, functional PBE.

Lattice parameters (Å, degrees): 7.302 7.302 6.064 65.51 65.51 31.87
Atoms (fractional coordinates):
Ba1 0.250 0.250 0.250
La1 0.030 0.030 0.970
La2 0.470 0.470 0.530
Mg1 0.750 0.750 0.750

Values from the calculation:
energy	-13.18	eV for the cell shown
magnetization	0.00	Bohr magnetons per cell
DOS(E_F)	5.65	states/eV/f.u.
V	154	Å³/cell
DFT formation energy	0.05	eV per atom